No. 1
A relaxed structure of ZnCu2Si. Source: Alexandria via LeMat-Bulk, functional PBE-GGA.

Its uncorrected formation energy is 0.168 eV/atom.

It has space group F-43m (No. 216), with a = 5.975 Å, b = 5.975 Å, c = 5.975 Å, α = 90.00°, β = 90.00° and γ = 90.00°. Symmetry generates all atoms from Zn at (0.000, 0.000, 0.000), Cu at (0.000, 0.000, 0.500), Cu at (0.250, 0.250, 0.250) and Si at (0.250, 0.250, 0.750).



No. 2
A relaxed structure of Pr4IrPt. Source: Alexandria via LeMat-Bulk, functional PBE-GGA.

The calculation puts the calculated formation energy at -3.6 eV per formula unit. For the energy above the most stable polymorph in this dataset, the calculation gives 0.000 eV/atom.

It has space group C2/c (No. 15), with a = 9.181 Å, b = 13.879 Å, c = 6.429 Å, α = 90.00°, β = 122.54° and γ = 90.00°. Symmetry generates all atoms from Pr at (0.130, 0.179, 0.100), Pr at (0.201, 0.435, 0.275), Ir at (0.000, 0.003, 0.750) and Pt at (0.000, 0.365, 0.750).



No. 3
A relaxed structure of TcP3. Source: Alexandria via LeMat-Bulk, functional PBE-GGA.

The calculation puts the calculated formation energy at 1.2 eV per formula unit. For the energy above the most stable polymorph in this dataset, the calculation gives 0.742 eV/atom.

It has space group Pm-3n (No. 223), with a = 4.809 Å, b = 4.809 Å, c = 4.809 Å, α = 90.00°, β = 90.00° and γ = 90.00°. Symmetry generates all atoms from Tc at (0.000, 0.000, 0.000) and P at (0.000, 0.250, 0.500).



No. 4
A relaxed structure of Ca2CN2. Source: Alexandria via LeMat-Bulk, functional PBE-GGA.

Its uncorrected formation energy is 1.013 eV/atom. For the energy above the most stable polymorph in this dataset, the calculation gives 1.502 eV/atom.

It has space group I4/mmm (No. 139), with a = 3.024 Å, b = 3.024 Å, c = 14.418 Å, α = 90.00°, β = 90.00° and γ = 90.00°. Symmetry generates all atoms from Ca at (0.000, 0.000, 0.117), C at (0.000, 0.000, 0.500) and N at (0.000, 0.500, 0.250).



No. 5
A relaxed structure of Ac2Ni2Pt15. Source: Alexandria via LeMat-Bulk, functional PBE-GGA.

The calculation puts the calculated formation energy at -7.9 eV per formula unit.

It has space group R-3m (No. 166, hexagonal axes), with a = 9.3493 Å, b = 9.3493 Å, c = 13.4753 Å, α = 90.00°, β = 90.00° and γ = 120.00°. Symmetry generates all atoms from Ac at (0.0000, 0.0000, 0.1624), Ni at (0.0000, 0.0000, 0.4088), Pt at (0.0000, 0.3011, 0.5000), Pt at (0.0000, 0.5000, 0.0000) and Pt at (0.0015, 0.5007, 0.3444).



No. 6
A relaxed structure of Pm2Sm6Ho3Tl. Source: Alexandria via LeMat-Bulk, functional PBE-GGA.

The calculation puts the calculated formation energy at -0.3 eV per formula unit.

It has space group C2/m (No. 12), with a = 6.170 Å, b = 10.706 Å, c = 11.833 Å, α = 90.00°, β = 100.07° and γ = 90.00°. Symmetry generates all atoms from Pm at (0.000, 0.166, 0.000), Sm at (0.243, 0.500, 0.748), Sm at (0.247, 0.336, 0.251), Ho at (0.000, 0.000, 0.500), Ho at (0.000, 0.333, 0.500) and Tl at (0.000, 0.500, 0.000).



No. 7
A relaxed structure of Pr2Mg3Hg2. Source: Alexandria via LeMat-Bulk, functional PBE-GGA.

The calculation puts the calculated formation energy at -2.3 eV per formula unit.

It has space group C2/m (No. 12), with a = 10.858 Å, b = 4.772 Å, c = 7.650 Å, α = 90.00°, β = 111.84° and γ = 90.00°. Symmetry generates all atoms from Pr at (0.139, 0.000, 0.276), Mg at (0.000, 0.500, 0.500), Mg at (0.119, 0.500, 0.932) and Hg at (0.157, 0.000, 0.714).



No. 8
A relaxed structure of NdNpB2O8. Source: Alexandria via LeMat-Bulk, functional PBE-GGA.

Its uncorrected formation energy is -2.465 eV/atom.

It has space group P-3m1 (No. 164), with a = 5.0357 Å, b = 5.0357 Å, c = 6.8981 Å, α = 90.00°, β = 90.00° and γ = 120.00°. Symmetry generates all atoms from Nd at (0.0000, 0.0000, 0.0000), Np at (0.0000, 0.0000, 0.5000), B at (0.3333, 0.6667, 0.2215), O at (0.1745, 0.3490, 0.3024) and O at (0.3333, 0.6667, 0.0180).



No. 9
A relaxed structure of Zr2MoOs. Source: Alexandria via LeMat-Bulk, functional PBE-GGA.

The calculation puts the calculated formation energy at 0.7 eV per formula unit.

It has space group R-3m (No. 166, hexagonal axes), with a = 3.1698 Å, b = 3.1698 Å, c = 25.8201 Å, α = 90.00°, β = 90.00° and γ = 120.00°. Symmetry generates all atoms from Zr at (0.0000, 0.0000, 0.2481), Mo at (0.0000, 0.0000, 0.0000) and Os at (0.0000, 0.0000, 0.5000).



No. 10
A relaxed structure of BaLi2Ir2. Source: Alexandria via LeMat-Bulk, functional PBE-GGA.

The calculation puts the calculated formation energy at 0.8 eV per formula unit. For the energy above the most stable polymorph in this dataset, the calculation gives 0.000 eV/atom.

It has space group I4/mmm (No. 139), with a = 4.564 Å, b = 4.564 Å, c = 10.015 Å, α = 90.00°, β = 90.00° and γ = 90.00°. Symmetry generates all atoms from Ba at (0.000, 0.000, 0.000), Li at (0.000, 0.500, 0.250) and Ir at (0.000, 0.000, 0.379).



No. 11
A relaxed structure of TbDySn. Source: Alexandria via LeMat-Bulk, functional PBE-GGA.

The calculation puts the calculated formation energy at -1.2 eV per formula unit. For the energy above the most stable polymorph in this dataset, the calculation gives 0.183 eV/atom.

It has space group R-3m (No. 166, hexagonal axes), with a = 5.1347 Å, b = 5.1347 Å, c = 25.1953 Å, α = 90.00°, β = 90.00° and γ = 120.00°. Symmetry generates all atoms from Tb at (0.0000, 0.0000, 0.1252), Dy at (0.0000, 0.0000, 0.3750) and Sn at (0.0000, 0.0000, 0.2505).



No. 12
A relaxed structure of Ac2DyTl3S6. Source: Alexandria via LeMat-Bulk, functional PBE-GGA.

Its uncorrected formation energy is -1.487 eV/atom.

It has space group C2/m (No. 12), with a = 7.460 Å, b = 12.898 Å, c = 7.860 Å, α = 90.00°, β = 108.35° and γ = 90.00°. Symmetry generates all atoms from Ac at (0.000, 0.167, 0.000), Dy at (0.000, 0.500, 0.000), Tl at (0.000, 0.000, 0.500), Tl at (0.000, 0.335, 0.500), S at (0.225, 0.344, 0.204) and S at (0.244, 0.500, 0.791).



No. 13
A relaxed structure of Ru2C3. Source: Alexandria via LeMat-Bulk, functional PBE-GGA.

The calculation puts the calculated formation energy at 4.0 eV per formula unit. For the energy above the most stable polymorph in this dataset, the calculation gives 0.044 eV/atom.

It has space group R-3m (No. 166, hexagonal axes), with a = 2.5883 Å, b = 2.5883 Å, c = 35.8406 Å, α = 90.00°, β = 90.00° and γ = 120.00°. Symmetry generates all atoms from Ru at (0.0000, 0.0000, 0.1246), C at (0.0000, 0.0000, 0.3333) and C at (0.0000, 0.0000, 0.5000).



No. 14
A relaxed structure of KCdSbI2. Source: Alexandria via LeMat-Bulk, functional PBE-GGA.

Its uncorrected formation energy is 0.275 eV/atom. For the energy above the most stable polymorph in this dataset, the calculation gives 0.610 eV/atom.

It has space group P4/mmm (No. 123), with a = 6.471 Å, b = 6.471 Å, c = 7.038 Å, α = 90.00°, β = 90.00° and γ = 90.00°. Symmetry generates all atoms from K at (0.000, 0.000, 0.000), Cd at (0.500, 0.500, 0.500), Sb at (0.000, 0.000, 0.500) and I at (0.000, 0.500, 0.000).



No. 15
A relaxed structure of Dy3ErC2. Source: Alexandria via LeMat-Bulk, functional PBE-GGA.

The calculation puts the calculated formation energy at -1.6 eV per formula unit.

It has space group P-3m1 (No. 164), with a = 7.1228 Å, b = 7.1228 Å, c = 6.2444 Å, α = 90.00°, β = 90.00° and γ = 120.00°. Symmetry generates all atoms from Dy at (0.1665, 0.3330, 0.2826), Er at (0.3333, 0.6667, 0.7116), C at (0.0000, 0.0000, 0.5000) and C at (0.0000, 0.5000, 0.5000).



No. 16
A relaxed structure of NdErTlGa. Source: Alexandria via LeMat-Bulk, functional PBE-GGA.

The calculation puts the calculated formation energy at -1.8 eV per formula unit. For the energy above the most stable polymorph in this dataset, the calculation gives 0.000 eV/atom.

It has space group P4mm (No. 99), with a = 3.670 Å, b = 3.670 Å, c = 7.703 Å, α = 90.00°, β = 90.00° and γ = 90.00°. Symmetry generates all atoms from Nd at (0.000, 0.000, 0.000), Er at (0.000, 0.000, 0.465), Tl at (0.500, 0.500, 0.718) and Ga at (0.500, 0.500, 0.246).



No. 17
A relaxed structure of AcPm2Hg2Pb2. Source: Alexandria via LeMat-Bulk, functional PBE-GGA.

The calculation puts the calculated formation energy at -2.1 eV per formula unit.

It has space group R-3m (No. 166, hexagonal axes), with a = 5.1911 Å, b = 5.1911 Å, c = 28.2514 Å, α = 90.00°, β = 90.00° and γ = 120.00°. Symmetry generates all atoms from Ac at (0.0000, 0.0000, 0.0000), Pm at (0.0000, 0.0000, 0.1329), Hg at (0.0000, 0.0000, 0.4369) and Pb at (0.0000, 0.0000, 0.2662).



No. 18
A relaxed structure of LiZnTe2N. Source: Alexandria via LeMat-Bulk, functional PBE-GGA.

Its uncorrected formation energy is 0.790 eV/atom. For the energy above the most stable polymorph in this dataset, the calculation gives 0.328 eV/atom.

It has space group P4/mmm (No. 123), with a = 5.273 Å, b = 5.273 Å, c = 3.482 Å, α = 90.00°, β = 90.00° and γ = 90.00°. Symmetry generates all atoms from Li at (0.000, 0.000, 0.000), Zn at (0.500, 0.500, 0.500), Te at (0.000, 0.500, 0.000) and N at (0.000, 0.000, 0.500).



No. 19
A relaxed structure of BaSr2AlIr. Source: Alexandria via LeMat-Bulk, functional PBE-GGA.

The calculation puts the calculated formation energy at -0.8 eV per formula unit.

It has space group P4/mmm (No. 123), with a = 5.928 Å, b = 5.928 Å, c = 4.971 Å, α = 90.00°, β = 90.00° and γ = 90.00°. Symmetry generates all atoms from Ba at (0.000, 0.000, 0.000), Sr at (0.000, 0.500, 0.500), Al at (0.500, 0.500, 0.000) and Ir at (0.500, 0.500, 0.500).



No. 20
A relaxed structure of KHgPd. Source: Alexandria via LeMat-Bulk, functional PBE-GGA.

The calculation puts the calculated formation energy at -0.4 eV per formula unit. For the energy above the most stable polymorph in this dataset, the calculation gives 0.093 eV/atom.

It has space group P-6m2 (No. 187), with a = 4.7175 Å, b = 4.7175 Å, c = 4.6514 Å, α = 90.00°, β = 90.00° and γ = 120.00°. Symmetry generates all atoms from K at (0.0000, 0.0000, 0.0000), Hg at (0.3333, 0.6667, 0.5000) and Pd at (0.6667, 0.3333, 0.5000).